[1]
! InRe2SiB PBE-GGA relaxed; values from VASP
! E_form (uncorrected) ... 6.7 eV/f.u.
! Uncorrected energy ... -6.6149 eV per atom
! Space-group type ... P4/mmm
! ρ ... 10.9 g/cm3
! Fermi-level density of states ... 5.7 states/eV/f.u.
! Crystal system ... tetragonal
! Spin magnetization ... 0.00 μB/cell
&SYSTEM
  ibrav = 0, nat = 5, ntyp = 4
/
ATOMIC_SPECIES
Re 186.21 Re.upf
Si 28.09 Si.upf
B 10.81 B.upf
In 114.82 In.upf
CELL_PARAMETERS angstrom
4.644 0.000 0.000
0.000 3.721 0.000
0.000 0.000 4.644
ATOMIC_POSITIONS angstrom
Re 0.000 0.000 2.322
Re 2.322 0.000 0.000
Si 0.000 0.000 0.000
B 0.000 1.860 0.000
In 2.322 1.860 2.322

[2]
! InRe2TcB PBE-GGA relaxed; values from VASP
! Energy of formation from the pure elements ... 0.783 eV/atom
! Uncorrected energy ... -8.1530 eV per atom
! Space-group type ... P4/mmm
! ρ ... 13.0 g/cm3
! Fermi-level density of states ... 4.2 states/eV/f.u.
! Crystal system ... tetragonal
! Spin magnetization ... 0.38 μB/cell
&SYSTEM
  ibrav = 0, nat = 5, ntyp = 4
/
ATOMIC_SPECIES
Re 186.21 Re.upf
B 10.81 B.upf
Tc 98.00 Tc.upf
In 114.82 In.upf
CELL_PARAMETERS angstrom
4.113 0.000 0.000
0.000 4.494 0.000
0.000 0.000 4.113
ATOMIC_POSITIONS angstrom
Re 0.000 0.000 2.057
Re 2.057 0.000 0.000
B 0.000 0.000 0.000
Tc 2.057 2.247 2.057
In 0.000 2.247 0.000

[3]
! TlInRe2B PBE-GGA relaxed; values from VASP
! Energy of formation from the pure elements ... 0.979 eV/atom
! Uncorrected energy ... -6.3568 eV per atom
! Space-group type ... P4/mmm
! ρ ... 13.7 g/cm3
! Fermi-level density of states ... 4.9 states/eV/f.u.
! Crystal system ... tetragonal
! Spin magnetization ... 0.00 μB/cell
&SYSTEM
  ibrav = 0, nat = 5, ntyp = 4
/
ATOMIC_SPECIES
Re 186.21 Re.upf
Tl 204.38 Tl.upf
B 10.81 B.upf
In 114.82 In.upf
CELL_PARAMETERS angstrom
4.292 0.000 0.000
0.000 4.614 0.000
0.000 0.000 4.292
ATOMIC_POSITIONS angstrom
Re 0.000 0.000 2.146
Re 2.146 0.000 0.000
Tl 0.000 2.307 0.000
B 0.000 0.000 0.000
In 2.146 2.307 2.146

[4]
! InBRh3 PBE-GGA relaxed; values from VASP
! Energy of formation from the pure elements ... -0.105 eV/atom
! Uncorrected energy ... -6.3993 eV per atom
! Space-group type ... C2/c
! ρ ... 9.8 g/cm3
! Fermi-level density of states ... 3.5 states/eV/f.u.
! Crystal system ... monoclinic
! Spin magnetization ... 0.00 μB/cell
&SYSTEM
  ibrav = 0, nat = 20, ntyp = 3
/
ATOMIC_SPECIES
B 10.81 B.upf
Rh 102.91 Rh.upf
In 114.82 In.upf
CELL_PARAMETERS angstrom
15.956 0.000 7.892
5.360 5.450 0.959
-5.360 5.450 -0.959
ATOMIC_POSITIONS angstrom
B 9.287 5.481 5.440
B 6.669 5.419 2.453
B 14.647 7.758 6.399
B 1.309 3.142 1.493
Rh 16.616 4.366 7.876
Rh 12.678 4.366 4.921
Rh -0.660 6.533 0.016
Rh 3.278 6.533 2.971
Rh 9.920 3.923 4.197
Rh 3.418 3.923 0.709
Rh 6.037 6.977 3.696
Rh 12.538 6.977 7.184
Rh 11.050 6.439 4.615
Rh 18.244 6.439 8.182
Rh 4.907 4.461 3.277
Rh -2.288 4.461 -0.290
In -0.694 2.068 -0.049
In 8.672 7.518 3.995
In 16.651 8.832 7.941
In 7.284 3.382 3.897

[5]
! InBRh3 PBE-GGA relaxed; values from VASP
! Energy of formation from the pure elements ... -0.120 eV/atom
! Uncorrected energy ... -6.4138 eV per atom
! Space-group type ... C2/c
! ρ ... 10.0 g/cm3
! Fermi-level density of states ... 2.6 states/eV/f.u.
! Crystal system ... monoclinic
! Spin magnetization ... 0.00 μB/cell
&SYSTEM
  ibrav = 0, nat = 20, ntyp = 3
/
ATOMIC_SPECIES
B 10.81 B.upf
Rh 102.91 Rh.upf
In 114.82 In.upf
CELL_PARAMETERS angstrom
-3.350 5.536 -6.192
-2.671 -2.323 -5.797
-4.022 -3.714 4.021
ATOMIC_POSITIONS angstrom
B -2.992 -1.230 -1.034
B -6.674 -3.211 -4.184
B -7.050 0.729 -6.935
B -3.368 2.710 -3.785
Rh -3.589 -0.517 -2.792
Rh -6.523 -4.326 -2.543
Rh -6.454 0.016 -5.176
Rh -3.519 3.825 -5.425
Rh -1.144 -0.374 -1.758
Rh -5.945 -1.742 -2.775
Rh -8.898 -0.127 -6.211
Rh -4.097 1.241 -5.193
Rh -4.823 -0.334 -0.183
Rh -3.018 -2.547 0.538
Rh -5.219 -0.167 -7.786
Rh -7.024 2.046 -8.507
In -5.590 1.333 -2.917
In -4.453 -1.834 -5.052
In -4.445 2.452 -7.701
In -5.597 -2.953 -0.267

[6]
! InBRh3 PBE-GGA relaxed; values from VASP
! Energy of formation from the pure elements ... -0.004 eV/atom
! Uncorrected energy ... -6.2983 eV per atom
! Space-group type ... P6_3/mmc
! ρ ... 10.3 g/cm3
! Fermi-level density of states ... 4.0 states/eV/f.u.
! Crystal system ... hexagonal
! Spin magnetization ... 0.00 μB/cell
&SYSTEM
  ibrav = 0, nat = 10, ntyp = 3
/
ATOMIC_SPECIES
B 10.81 B.upf
Rh 102.91 Rh.upf
In 114.82 In.upf
CELL_PARAMETERS angstrom
3.779 -2.182 0.000
0.000 4.363 0.000
0.000 0.000 8.481
ATOMIC_POSITIONS angstrom
B 0.000 0.000 0.000
B 0.000 0.000 4.241
Rh 0.000 0.000 2.120
Rh 0.000 0.000 6.361
Rh 1.260 2.182 0.611
Rh 1.260 2.182 3.629
Rh 2.519 0.000 4.852
Rh 2.519 0.000 7.870
In 1.260 2.182 6.361
In 2.519 0.000 2.120

Q: Number 3 is which compound?
A: TlInRe2B